K2CaOs: relaxed, PBE.

Values from the calculation:
energy of formation: 4.6 eV/f.u.
final energy: -2.7124 eV/atom

Cell: 4.555 4.555 5.927 Å, 90.00 90.00 90.00°
Space group P4/mmm (No. 123)
Symmetry-distinct sites (fractional):
K  0.000  0.500  0.000
Ca  0.000  0.000  0.500
Os  0.500  0.500  0.500